Record 1
CaLa5In3: optimized geometry, GGA-PBE.

The structure in POSCAR format:
```
CaLa5In3
1.0
7.070 0.000 0.000
0.000 9.771 0.000
0.000 -4.885 8.461
In La Ca
6 10 2
direct
0.750 0.327 0.327
0.250 0.673 0.673
0.750 0.673 0.000
0.250 0.000 0.327
0.750 0.000 0.673
0.250 0.327 0.000
0.250 0.338 0.338
0.750 0.338 0.000
0.500 0.667 0.333
0.250 0.000 0.662
0.000 0.333 0.667
0.250 0.662 0.000
0.500 0.333 0.667
0.000 0.667 0.333
0.750 0.662 0.662
0.750 0.000 0.338
0.500 0.000 0.000
0.000 0.000 0.000
```

Space-group type: P6_3/mcm, No. 193
DFT total energy in eV per cell: -76.768
Calculated formation energy in eV/atom: -0.3922

***

Record 2
Sr3Er2PaAs6: optimized geometry, GGA-PBE.

The structure in POSCAR format:
```
Sr3Er2PaAs6
1.0
-3.866 3.502 -5.180
2.662 -6.726 -1.311
-5.608 -1.798 4.708
Sr Er As Pa
3 2 6 1
direct
0.831 0.169 0.500
0.500 0.500 0.500
0.169 0.831 0.500
0.667 0.333 0.000
0.333 0.667 0.000
0.600 0.927 0.781
0.073 0.400 0.219
0.400 0.073 0.219
0.746 0.746 0.219
0.927 0.600 0.781
0.254 0.254 0.781
0.000 0.000 0.000
```

Space-group type: C2/m, No. 12
DFT total energy in eV per cell: -66.493
Calculated formation energy in eV/atom: -1.2441

***

Record 3
Pm2DyAgTe5: optimized geometry, GGA-PBE.

The structure in POSCAR format:
```
Pm2DyAgTe5
1.0
4.375 0.000 0.000
-2.188 9.434 0.000
0.000 0.000 13.298
Te Dy Pm Ag
10 2 4 2
direct
0.643 0.286 0.499
0.714 0.428 0.168
0.306 0.612 0.340
0.357 0.714 0.999
0.502 0.003 0.279
0.694 0.388 0.840
0.286 0.572 0.668
0.958 0.916 0.578
0.042 0.084 0.078
0.498 0.997 0.779
0.192 0.384 0.009
0.808 0.616 0.509
0.111 0.222 0.686
0.889 0.778 0.186
0.874 0.749 0.804
0.126 0.251 0.304
0.432 0.863 0.460
0.568 0.137 0.960
```

Space-group type: Cmc2_1, No. 36
DFT total energy in eV per cell: -86.381
Formation energy (no corrections) in eV per atom: -1.17

***

Record 4
TbAl2Fe2Si: optimized geometry, GGA-PBE.

The structure in POSCAR format:
```
TbAl2Fe2Si
1.0
-4.138 -0.788 -0.083
0.483 -2.854 3.063
-0.835 3.982 3.842
Al Fe Si Tb
2 2 1 1
direct
0.500 0.500 0.745
0.500 0.500 0.255
0.000 0.500 0.000
0.500 0.000 0.000
0.000 0.000 0.000
0.000 0.000 0.500
```

Space-group type: P4/mmm, No. 123
DFT total energy in eV per cell: -36.173
Formation energy (no corrections) in eV per atom: -0.28